[1]
! Tb5PrNdSm2, relaxed, DFT PBE; values from VASP
&SYSTEM
  ibrav = 0, nat = 18, ntyp = 4
/
ATOMIC_SPECIES
Tb 158.93 Tb.upf
Pr 140.91 Pr.upf
Nd 144.24 Nd.upf
Sm 150.36 Sm.upf
ATOMIC_POSITIONS crystal
Tb 0.0000 0.0000 0.0000
Tb 0.0707 0.5707 0.9125
Tb 0.1582 0.0707 0.5000
Tb 0.3418 0.8418 0.9125
Tb 0.4293 0.3418 0.5000
Tb 0.5000 0.5000 0.0000
Tb 0.5707 0.6582 0.5000
Tb 0.6582 0.1582 0.0875
Tb 0.8418 0.9293 0.5000
Tb 0.9293 0.4293 0.0875
Pr 0.2500 0.2500 0.0000
Pr 0.7500 0.7500 0.0000
Nd 0.2500 0.7500 0.5000
Nd 0.7500 0.2500 0.5000
Sm 0.1172 0.3828 0.5000
Sm 0.3828 0.8828 0.2656
Sm 0.6172 0.1172 0.7344
Sm 0.8828 0.6172 0.5000
CELL_PARAMETERS angstrom
-4.3958 4.3958 7.7802
4.3958 -4.3958 7.7802
4.3958 4.3958 -7.7802
! ΔH_f (0 K) (eV per atom): 0.256
! Magnetization (μB per formula unit): 0.0
! Uncorrected energy (eV for the cell shown): -79.67

[2]
! Tb4Pr2NdSm, relaxed, DFT PBE; values from VASP
&SYSTEM
  ibrav = 0, nat = 8, ntyp = 4
/
ATOMIC_SPECIES
Tb 158.93 Tb.upf
Pr 140.91 Pr.upf
Nd 144.24 Nd.upf
Sm 150.36 Sm.upf
ATOMIC_POSITIONS crystal
Tb 0.2487 0.0000 0.2492
Tb 0.2502 0.5000 0.7504
Tb 0.7498 0.5000 0.2496
Tb 0.7513 0.0000 0.7508
Pr 0.5000 0.0000 0.0000
Pr 0.5000 0.5000 0.5000
Nd 0.0000 0.0000 0.5000
Sm 0.0000 0.5000 0.0000
CELL_PARAMETERS angstrom
6.2759 0.0000 0.0000
0.0000 3.6346 0.0000
-2.1290 0.0000 11.7650
! ΔH_f (0 K) (eV per atom): 0.015
! Magnetization (μB per formula unit): 0.0
! Uncorrected energy (eV for the cell shown): -37.45

[3]
! TbPr2Nd2Sm4, relaxed, DFT PBE; values from VASP
&SYSTEM
  ibrav = 0, nat = 9, ntyp = 4
/
ATOMIC_SPECIES
Tb 158.93 Tb.upf
Pr 140.91 Pr.upf
Nd 144.24 Nd.upf
Sm 150.36 Sm.upf
ATOMIC_POSITIONS crystal
Tb 0.0000 0.0000 0.0000
Pr 0.1477 0.1477 0.6657
Pr 0.8523 0.8523 0.3343
Nd 0.3346 0.3346 0.9995
Nd 0.6654 0.6654 0.0005
Sm 0.1845 0.1845 0.3325
Sm 0.4818 0.4818 0.6708
Sm 0.5182 0.5182 0.3292
Sm 0.8155 0.8155 0.6675
CELL_PARAMETERS angstrom
9.5548 -1.8406 0.0000
9.5548 1.8406 0.0000
-4.2474 0.0000 8.8450
! ΔH_f (0 K) (eV per atom): 0.011
! Magnetization (μB per formula unit): 0.0
! Uncorrected energy (eV for the cell shown): -42.50

[4]
! Tb3Pr6NdSm2, relaxed, DFT PBE; values from VASP
&SYSTEM
  ibrav = 0, nat = 12, ntyp = 4
/
ATOMIC_SPECIES
Tb 158.93 Tb.upf
Pr 140.91 Pr.upf
Nd 144.24 Nd.upf
Sm 150.36 Sm.upf
ATOMIC_POSITIONS crystal
Tb 0.0000 0.0000 0.0000
Tb 0.3332 0.6668 0.0000
Tb 0.6668 0.3332 0.0000
Pr 0.0820 0.4157 0.2476
Pr 0.2507 0.2507 0.7525
Pr 0.4157 0.0820 0.2476
Pr 0.5843 0.9180 0.7524
Pr 0.7493 0.7493 0.2475
Pr 0.9180 0.5843 0.7524
Nd 0.5000 0.5000 0.5000
Sm 0.1666 0.8334 0.5000
Sm 0.8334 0.1666 0.5000
CELL_PARAMETERS angstrom
3.1774 -5.5049 0.0000
3.1774 5.5049 0.0000
-2.1166 0.0000 11.8677
! ΔH_f (0 K) (eV per atom): 0.012
! Magnetization (μB per formula unit): 0.0
! Uncorrected energy (eV for the cell shown): -56.63

[5]
! TbPr2Nd5Sm, relaxed, DFT PBE; values from VASP
&SYSTEM
  ibrav = 0, nat = 18, ntyp = 4
/
ATOMIC_SPECIES
Tb 158.93 Tb.upf
Pr 140.91 Pr.upf
Nd 144.24 Nd.upf
Sm 150.36 Sm.upf
ATOMIC_POSITIONS crystal
Tb 0.2500 0.7500 0.5000
Tb 0.7500 0.2500 0.5000
Pr 0.1198 0.6198 0.7395
Pr 0.3802 0.1198 0.5000
Pr 0.6198 0.8802 0.5000
Pr 0.8802 0.3802 0.2605
Nd 0.0000 0.0000 0.0000
Nd 0.0706 0.1467 0.5000
Nd 0.1467 0.6467 0.0761
Nd 0.3533 0.4294 0.5000
Nd 0.4294 0.9294 0.0761
Nd 0.5000 0.5000 0.0000
Nd 0.5706 0.0706 0.9239
Nd 0.6467 0.5706 0.5000
Nd 0.8533 0.3533 0.9239
Nd 0.9294 0.8533 0.5000
Sm 0.2500 0.2500 0.0000
Sm 0.7500 0.7500 0.0000
CELL_PARAMETERS angstrom
-4.4063 4.4063 8.1830
4.4063 -4.4063 8.1830
4.4063 4.4063 -8.1830
! ΔH_f (0 K) (eV per atom): 0.264
! Magnetization (μB per formula unit): 0.0
! Uncorrected energy (eV for the cell shown): -80.74

[6]
! PrNd2Sm3Te6, relaxed, DFT PBE; values from VASP
&SYSTEM
  ibrav = 0, nat = 12, ntyp = 4
/
ATOMIC_SPECIES
Pr 140.91 Pr.upf
Nd 144.24 Nd.upf
Sm 150.36 Sm.upf
Te 127.60 Te.upf
ATOMIC_POSITIONS crystal
Pr 0.0000 0.0000 0.0000
Nd 0.3336 0.3336 0.6674
Nd 0.6664 0.6664 0.3326
Sm 0.0000 0.0000 0.5000
Sm 0.3341 0.3341 0.1670
Sm 0.6659 0.6659 0.8330
Te 0.1659 0.1659 0.5856
Te 0.1686 0.1686 0.0810
Te 0.4992 0.4992 0.2544
Te 0.5008 0.5008 0.7456
Te 0.8314 0.8314 0.9190
Te 0.8341 0.8341 0.4144
CELL_PARAMETERS angstrom
9.7546 -2.2267 0.0000
9.7546 2.2267 0.0000
-2.0793 0.0000 8.7621
! Magnetization (μB per formula unit): 0.0
! Uncorrected energy (eV for the cell shown): -64.20
! ΔE_f (raw) (meV/atom): -1407

[7]
! Pr3NdSm4Te8, relaxed, DFT PBE; values from VASP
&SYSTEM
  ibrav = 0, nat = 16, ntyp = 4
/
ATOMIC_SPECIES
Pr 140.91 Pr.upf
Nd 144.24 Nd.upf
Sm 150.36 Sm.upf
Te 127.60 Te.upf
ATOMIC_POSITIONS crystal
Pr 0.0000 0.5000 0.5000
Pr 0.5000 0.0000 0.5000
Pr 0.5000 0.5000 0.0000
Nd 0.0000 0.0000 0.0000
Sm 0.0000 0.0000 0.5000
Sm 0.0000 0.5000 0.0000
Sm 0.5000 0.0000 0.0000
Sm 0.5000 0.5000 0.5000
Te 0.2467 0.7485 0.7485
Te 0.2476 0.2476 0.2476
Te 0.2515 0.2515 0.7533
Te 0.2515 0.7533 0.2515
Te 0.7485 0.2467 0.7485
Te 0.7485 0.7485 0.2467
Te 0.7524 0.7524 0.7524
Te 0.7533 0.2515 0.2515
CELL_PARAMETERS angstrom
4.4763 2.5844 7.3532
-4.4763 2.5844 7.3532
0.0000 -5.1688 7.3532
! Magnetization (μB per formula unit): 0.0
! Uncorrected energy (eV for the cell shown): -85.61
! ΔE_f (raw) (meV/atom): -1406

[8]
! PrNdSmTe3, relaxed, DFT PBE; values from VASP
&SYSTEM
  ibrav = 0, nat = 12, ntyp = 4
/
ATOMIC_SPECIES
Pr 140.91 Pr.upf
Nd 144.24 Nd.upf
Sm 150.36 Sm.upf
Te 127.60 Te.upf
ATOMIC_POSITIONS crystal
Pr 0.1877 0.2500 0.2173
Pr 0.8123 0.7500 0.7827
Nd 0.1572 0.2500 0.6185
Nd 0.8428 0.7500 0.3815
Sm 0.3325 0.7500 0.9111
Sm 0.6675 0.2500 0.0889
Te 0.0795 0.2500 0.8908
Te 0.2295 0.7500 0.4421
Te 0.4798 0.7500 0.2012
Te 0.5202 0.2500 0.7988
Te 0.7705 0.2500 0.5579
Te 0.9205 0.7500 0.1092
CELL_PARAMETERS angstrom
8.6368 0.0000 0.0000
0.0000 4.3893 0.0000
-2.7396 0.0000 10.7132
! Magnetization (μB per formula unit): 0.0
! Uncorrected energy (eV for the cell shown): -62.59
! ΔE_f (raw) (meV/atom): -1268

[9]
! Pr3NdSm2Te6, relaxed, DFT PBE; values from VASP
&SYSTEM
  ibrav = 0, nat = 12, ntyp = 4
/
ATOMIC_SPECIES
Pr 140.91 Pr.upf
Nd 144.24 Nd.upf
Sm 150.36 Sm.upf
Te 127.60 Te.upf
ATOMIC_POSITIONS crystal
Pr 0.0000 0.0000 0.0000
Pr 0.3350 0.3350 0.6670
Pr 0.6650 0.6650 0.3330
Nd 0.0000 0.0000 0.5000
Sm 0.3339 0.3339 0.1674
Sm 0.6661 0.6661 0.8326
Te 0.1669 0.1669 0.5882
Te 0.1685 0.1685 0.0796
Te 0.4979 0.4979 0.2506
Te 0.5021 0.5021 0.7494
Te 0.8315 0.8315 0.9204
Te 0.8331 0.8331 0.4118
CELL_PARAMETERS angstrom
9.7981 -2.2370 0.0000
9.7981 2.2370 0.0000
-2.0825 0.0000 8.8020
! Magnetization (μB per formula unit): 0.0
! Uncorrected energy (eV for the cell shown): -64.42
! ΔE_f (raw) (meV/atom): -1419

[10]
! PrNd3Sm2Te6, relaxed, DFT PBE; values from VASP
&SYSTEM
  ibrav = 0, nat = 12, ntyp = 4
/
ATOMIC_SPECIES
Pr 140.91 Pr.upf
Nd 144.24 Nd.upf
Sm 150.36 Sm.upf
Te 127.60 Te.upf
ATOMIC_POSITIONS crystal
Pr 0.0000 0.0000 0.0000
Nd 0.0000 0.0000 0.5000
Nd 0.3358 0.3358 0.1672
Nd 0.6642 0.6642 0.8328
Sm 0.3339 0.3339 0.6678
Sm 0.6661 0.6661 0.3322
Te 0.1685 0.1685 0.0871
Te 0.1680 0.1680 0.5809
Te 0.4981 0.4981 0.7472
Te 0.5019 0.5019 0.2528
Te 0.8320 0.8320 0.4191
Te 0.8315 0.8315 0.9129
CELL_PARAMETERS angstrom
9.7678 -2.2328 0.0000
9.7678 2.2328 0.0000
-2.0506 0.0000 8.7815
! Magnetization (μB per formula unit): 0.0
! Uncorrected energy (eV for the cell shown): -64.33
! ΔE_f (raw) (meV/atom): -1413

[11]
! PrNd3Sm3Te8, relaxed, DFT PBE; values from VASP
&SYSTEM
  ibrav = 0, nat = 15, ntyp = 4
/
ATOMIC_SPECIES
Pr 140.91 Pr.upf
Nd 144.24 Nd.upf
Sm 150.36 Sm.upf
Te 127.60 Te.upf
ATOMIC_POSITIONS crystal
Pr 0.0000 0.0000 0.0000
Nd 0.0000 0.0000 0.5000
Nd 0.0000 0.5000 0.0000
Nd 0.5000 0.0000 0.0000
Sm 0.0000 0.5000 0.5000
Sm 0.5000 0.0000 0.5000
Sm 0.5000 0.5000 0.0000
Te 0.2514 0.2514 0.2514
Te 0.2581 0.2581 0.7392
Te 0.2581 0.7392 0.2581
Te 0.2608 0.7419 0.7419
Te 0.7392 0.2581 0.2581
Te 0.7419 0.2608 0.7419
Te 0.7419 0.7419 0.2608
Te 0.7486 0.7486 0.7486
CELL_PARAMETERS angstrom
4.4554 2.5723 7.2833
-4.4554 2.5723 7.2833
0.0000 -5.1447 7.2833
! Magnetization (μB per formula unit): 0.0
! Uncorrected energy (eV for the cell shown): -80.13
! ΔE_f (raw) (meV/atom): -1451

[12]
! Pr3NdSm3Te8, relaxed, DFT PBE; values from VASP
&SYSTEM
  ibrav = 0, nat = 15, ntyp = 4
/
ATOMIC_SPECIES
Pr 140.91 Pr.upf
Nd 144.24 Nd.upf
Sm 150.36 Sm.upf
Te 127.60 Te.upf
ATOMIC_POSITIONS crystal
Pr 0.0000 0.5000 0.5000
Pr 0.5000 0.0000 0.5000
Pr 0.5000 0.5000 0.0000
Nd 0.5000 0.5000 0.5000
Sm 0.0000 0.0000 0.5000
Sm 0.0000 0.5000 0.0000
Sm 0.5000 0.0000 0.0000
Te 0.2395 0.7561 0.7561
Te 0.2439 0.2439 0.7605
Te 0.2439 0.7605 0.2439
Te 0.2478 0.2478 0.2478
Te 0.7522 0.7522 0.7522
Te 0.7561 0.2395 0.7561
Te 0.7561 0.7561 0.2395
Te 0.7605 0.2439 0.2439
CELL_PARAMETERS angstrom
4.4668 2.5789 7.3169
-4.4668 2.5789 7.3169
0.0000 -5.1578 7.3169
! Magnetization (μB per formula unit): 0.0
! Uncorrected energy (eV for the cell shown): -80.21
! ΔE_f (raw) (meV/atom): -1454